<w>
The following is a PBE calculation of a geometry-optimized YTl2Te structure, from Alexandria.

POSCAR file:
```
YTl2Te
1.0
4.130 0.000 0.000
0.000 4.130 0.000
0.000 0.000 7.045
Y Tl Te
1 2 1
direct
0.000 0.000 0.000
0.000 0.000 0.486
0.500 0.500 0.708
0.500 0.500 0.160
```

**Space-group type**: P4mm (99)

=====

<x>
The following is a PBE calculation of a geometry-optimized YTl2Te structure, from Alexandria.

POSCAR file:
```
YTl2Te
1.0
4.214 0.000 0.000
0.000 4.471 0.000
0.000 0.000 6.291
Y Tl Te
1 2 1
direct
0.000 0.000 0.000
0.500 0.500 0.247
0.500 0.500 0.753
0.000 0.000 0.500
```

**Space-group type**: Pmmm (47)

=====

<y>
The following is a PBE calculation of a geometry-optimized YTl2Te structure, from Alexandria.

POSCAR file:
```
YTl2Te
1.0
3.947 0.000 0.000
0.000 5.989 0.000
0.000 0.000 10.106
Y Tl Te
2 4 2
direct
0.000 0.000 0.000
0.500 0.500 0.000
0.000 0.500 0.253
0.000 0.500 0.747
0.500 0.000 0.253
0.500 0.000 0.747
0.000 0.000 0.500
0.500 0.500 0.500
```

**Space-group type**: Cmmm (65)

=====

<z>
The following is a PBE calculation of a geometry-optimized YTl2Te structure, from Alexandria.

POSCAR file:
```
YTl2Te
1.0
4.008 0.000 0.000
-2.004 3.471 0.000
0.000 0.000 26.668
Y Tl Te
3 6 3
direct
0.000 0.000 0.000
0.333 0.667 0.667
0.667 0.333 0.333
0.000 0.000 0.245
0.000 0.000 0.755
0.333 0.667 0.422
0.333 0.667 0.912
0.667 0.333 0.088
0.667 0.333 0.578
0.000 0.000 0.500
0.333 0.667 0.167
0.667 0.333 0.833
```

**Space-group type**: R-3m (166)

=====

Taking the most stable structure as the zero point, the relative energies in kJ/mol of atoms are <w> 0.0; <x> 23.7; <y> 51.7; <z> 45.5.